Record 1
Here is a geometry-optimized KBa3Cu4Br12 structure from Alexandria via LeMat-Bulk. Energies are from PBE.

abc: 9.805 9.805 9.805
angles: 103.95 103.95 103.95
Element x y z (fractional)
K1 0.000 0.000 0.000
Ba1 0.000 0.539 0.461
Ba2 0.461 0.000 0.539
Ba3 0.539 0.461 0.000
Cu1 0.052 0.500 0.948
Cu2 0.500 0.500 0.500
Cu3 0.500 0.948 0.052
Cu4 0.948 0.052 0.500
Br1 0.012 0.653 0.803
Br2 0.105 0.895 0.500
Br3 0.197 0.347 0.988
Br4 0.347 0.988 0.197
Br5 0.348 0.652 0.500
Br6 0.500 0.105 0.895
Br7 0.500 0.348 0.652
Br8 0.652 0.500 0.348
Br9 0.653 0.803 0.012
Br10 0.803 0.012 0.653
Br11 0.895 0.500 0.105
Br12 0.988 0.197 0.347

Values from the calculation:
Total magnetization: 1.17 μB/cell
Uncorrected formation energy: -1.24 eV per atom
Crystal system: trigonal
DOS at the Fermi energy: 0.632 states/eV per atom

***

Record 2
Here is a geometry-optimized SrErTlGa structure from Alexandria via LeMat-Bulk. Energies are from PBE.

abc: 7.650 7.650 7.650
angles: 90.00 90.00 90.00
Element x y z (fractional)
Sr1 0.000 0.000 0.000
Sr2 0.000 0.500 0.500
Sr3 0.500 0.000 0.500
Sr4 0.500 0.500 0.000
Er1 0.000 0.000 0.500
Er2 0.000 0.500 0.000
Er3 0.500 0.000 0.000
Er4 0.500 0.500 0.500
Tl1 0.250 0.250 0.250
Tl2 0.250 0.750 0.750
Tl3 0.750 0.250 0.750
Tl4 0.750 0.750 0.250
Ga1 0.250 0.250 0.750
Ga2 0.250 0.750 0.250
Ga3 0.750 0.250 0.250
Ga4 0.750 0.750 0.750

Values from the calculation:
Total magnetization: 0.00 μB/cell
Crystal system: cubic
DOS at the Fermi energy: 0.657 states/eV per atom
Energy of formation from the pure elements: -0.324 eV/atom

***

One value per record, in order, for density: 3.28; 7.85 g cm⁻³.